A plane-wave DFT calculation with PBE was carried out for an optimized crystal structure of ScFe2Re.

Summary:
**Total magnetic moment**: 0.960 Bohr magnetons per cell
**Formation energy from the elements**: 0.21 eV/atom
**E**: -8.715 eV/atom

```
data_ScFe2Re
_chemical_formula_sum 'Sc1 Fe2 Re1'
_symmetry_space_group_name_H-M 'P 1'
_symmetry_Int_Tables_number 1
_cell_length_a 4.911
_cell_length_b 4.911
_cell_length_c 4.911
_cell_angle_alpha 135.66
_cell_angle_beta 135.66
_cell_angle_gamma 64.51
loop_
_symmetry_equiv_pos_as_xyz
'x,y,z'
loop_
_atom_site_label
_atom_site_type_symbol
_atom_site_fract_x
_atom_site_fract_y
_atom_site_fract_z
Sc1 Sc 0.750 0.250 0.500
Fe1 Fe 0.250 0.750 0.500
Fe2 Fe 0.000 0.000 0.000
Re1 Re 0.500 0.500 0.000
```

A plane-wave DFT calculation with PBE was carried out for an optimized crystal structure of ScFeRe.

Summary:
**Energy above the most stable polymorph in this dataset**: 0.00 eV/f.u.
**Total magnetic moment**: 3.024 Bohr magnetons per cell
**Formation energy from the elements**: -0.25 eV/atom
**E**: -9.332 eV/atom

```
data_ScFeRe
_chemical_formula_sum 'Sc2 Fe2 Re2'
_symmetry_space_group_name_H-M 'P 1'
_symmetry_Int_Tables_number 1
_cell_length_a 5.131
_cell_length_b 5.131
_cell_length_c 5.131
_cell_angle_alpha 91.04
_cell_angle_beta 59.51
_cell_angle_gamma 120.72
loop_
_symmetry_equiv_pos_as_xyz
'x,y,z'
loop_
_atom_site_label
_atom_site_type_symbol
_atom_site_fract_x
_atom_site_fract_y
_atom_site_fract_z
Fe1 Fe 0.500 0.000 0.000
Fe2 Fe 0.000 0.500 0.000
Sc1 Sc 0.250 0.125 0.625
Sc2 Sc 0.750 0.875 0.375
Re1 Re 0.000 0.500 0.500
Re2 Re 0.500 0.500 0.000
```

A plane-wave DFT calculation with PBE was carried out for an optimized crystal structure of ScFe2Re.

Summary:
**Total magnetic moment**: 3.617 Bohr magnetons per cell
**Formation energy from the elements**: 0.14 eV/atom
**E**: -8.787 eV/atom

```
data_ScFe2Re
_chemical_formula_sum 'Sc1 Fe2 Re1'
_symmetry_space_group_name_H-M 'P 1'
_symmetry_Int_Tables_number 1
_cell_length_a 4.988
_cell_length_b 4.988
_cell_length_c 4.988
_cell_angle_alpha 143.34
_cell_angle_beta 128.00
_cell_angle_gamma 65.30
loop_
_symmetry_equiv_pos_as_xyz
'x,y,z'
loop_
_atom_site_label
_atom_site_type_symbol
_atom_site_fract_x
_atom_site_fract_y
_atom_site_fract_z
Fe1 Fe 0.514 0.514 0.000
Fe2 Fe 0.986 0.986 0.000
Sc1 Sc 0.250 0.750 0.500
Re1 Re 0.750 0.250 0.500
```

A plane-wave DFT calculation with PBE was carried out for an optimized crystal structure of Sc2FeRe.

Summary:
**Energy above the most stable polymorph in this dataset**: 0.56 eV/f.u.
**Total magnetic moment**: 1.744 Bohr magnetons per cell
**Formation energy from the elements**: 0.11 eV/atom
**E**: -8.285 eV/atom

```
data_Sc2FeRe
_chemical_formula_sum 'Sc2 Fe1 Re1'
_symmetry_space_group_name_H-M 'P 1'
_symmetry_Int_Tables_number 1
_cell_length_a 4.446
_cell_length_b 2.932
_cell_length_c 5.372
_cell_angle_alpha 77.60
_cell_angle_beta 90.00
_cell_angle_gamma 90.00
loop_
_symmetry_equiv_pos_as_xyz
'x,y,z'
loop_
_atom_site_label
_atom_site_type_symbol
_atom_site_fract_x
_atom_site_fract_y
_atom_site_fract_z
Re1 Re 0.500 0.694 0.742
Sc1 Sc 0.000 0.995 0.967
Sc2 Sc 0.500 0.252 0.277
Fe1 Fe 0.000 0.559 0.515
```

A plane-wave DFT calculation with PBE was carried out for an optimized crystal structure of ScFeRe2.

Summary:
**Energy above the most stable polymorph in this dataset**: 2.05 eV/f.u.
**Total magnetic moment**: 0.000 Bohr magnetons per cell
**Formation energy from the elements**: 0.47 eV/atom
**E**: -9.450 eV/atom

```
data_ScFeRe2
_chemical_formula_sum 'Sc2 Fe2 Re4'
_symmetry_space_group_name_H-M 'P 1'
_symmetry_Int_Tables_number 1
_cell_length_a 7.324
_cell_length_b 7.324
_cell_length_c 5.735
_cell_angle_alpha 50.32
_cell_angle_beta 50.32
_cell_angle_gamma 90.00
loop_
_symmetry_equiv_pos_as_xyz
'x,y,z'
loop_
_atom_site_label
_atom_site_type_symbol
_atom_site_fract_x
_atom_site_fract_y
_atom_site_fract_z
Re1 Re 0.686 0.125 0.250
Re2 Re 0.875 0.936 0.750
Re3 Re 0.375 0.314 0.750
Re4 Re 0.064 0.625 0.250
Fe1 Fe 0.750 0.250 0.500
Fe2 Fe 0.000 0.000 0.000
Sc1 Sc 0.250 0.750 0.500
Sc2 Sc 0.500 0.500 0.000
```

A plane-wave DFT calculation with PBE was carried out for an optimized crystal structure of Sc2FeRe.

Summary:
**Energy above the most stable polymorph in this dataset**: 0.83 eV/f.u.
**Total magnetic moment**: 0.006 Bohr magnetons per cell
**Formation energy from the elements**: 0.18 eV/atom
**E**: -8.217 eV/atom

```
data_Sc2FeRe
_chemical_formula_sum 'Sc2 Fe1 Re1'
_symmetry_space_group_name_H-M 'P 1'
_symmetry_Int_Tables_number 1
_cell_length_a 4.483
_cell_length_b 4.483
_cell_length_c 4.483
_cell_angle_alpha 60.00
_cell_angle_beta 60.00
_cell_angle_gamma 60.00
loop_
_symmetry_equiv_pos_as_xyz
'x,y,z'
loop_
_atom_site_label
_atom_site_type_symbol
_atom_site_fract_x
_atom_site_fract_y
_atom_site_fract_z
Re1 Re 0.250 0.250 0.250
Fe1 Fe 0.500 0.500 0.500
Sc1 Sc 0.000 0.000 0.000
Sc2 Sc 0.750 0.750 0.750
```